Entry 1:
# Y3Bi2Pb

A relaxed structure of Y3Bi2Pb (PBE, Alexandria via LeMat-Bulk).

**Offset from the most stable computed form**: 0.0000 eV per atom
**Final energy**: -0.2155 Ha/atom
**Formation energy**: -4.3 eV/f.u.
**Calculated volume**: 31.660 Å³/atom
**Total magnetization**: 0.000 μB per atom

Structure (CIF):
```
data_Y3Bi2Pb
_chemical_formula_sum 'Y6 Bi4 Pb2'
_cell_length_a 4.3934
_cell_length_b 6.3386
_cell_length_c 13.6425
_cell_angle_alpha 90.00
_cell_angle_beta 90.00
_cell_angle_gamma 90.00
_space_group_name_H-M_alt 'I m m m'
_space_group_IT_number 71
_space_group_name_Hall '-I 2 2'
loop_
_atom_site_label
_atom_site_type_symbol
_atom_site_fract_x
_atom_site_fract_y
_atom_site_fract_z
_atom_site_occupancy
Y1 Y 0.0000 0.0000 0.0000 1
Y2 Y 0.0000 0.0000 0.3322 1
Bi1 Bi 0.0000 0.5000 0.3330 1
Pb1 Pb 0.0000 0.5000 0.0000 1
```

Entry 2:
# NaGa3Sb3

A relaxed structure of NaGa3Sb3 (PBE, Alexandria via LeMat-Bulk).

**Offset from the most stable computed form**: 0.0000 eV per atom
**Energy relative to the elements, uncorrected**: -0.10 eV per atom
**Final energy**: -0.1231 Ha/atom
**Calculated volume**: 32.022 Å³/atom
**Total magnetization**: 0.000 μB per atom

Structure (CIF):
```
data_NaGa3Sb3
_chemical_formula_sum 'Na2 Ga6 Sb6'
_cell_length_a 10.2290
_cell_length_b 10.2290
_cell_length_c 4.9472
_cell_angle_alpha 90.00
_cell_angle_beta 90.00
_cell_angle_gamma 120.00
_space_group_name_H-M_alt 'P 63/m'
_space_group_IT_number 176
_space_group_name_Hall '-P 6c'
loop_
_atom_site_label
_atom_site_type_symbol
_atom_site_fract_x
_atom_site_fract_y
_atom_site_fract_z
_atom_site_occupancy
Na1 Na 0.3333 0.6667 0.2500 1
Ga1 Ga 0.0605 0.6543 0.7500 1
Sb1 Sb 0.0762 0.3945 0.7500 1
```

Entry 3:
# Ca2AgP

A relaxed structure of Ca2AgP (PBE, Alexandria via LeMat-Bulk).

**Final energy**: -0.1383 Ha/atom
**Formation energy**: -2.8 eV/f.u.
**Calculated volume**: 24.339 Å³/atom
**Total magnetization**: 0.000 μB per atom

Structure (CIF):
```
data_Ca2AgP
_chemical_formula_sum 'Ca4 Ag2 P2'
_cell_length_a 4.3189
_cell_length_b 4.0990
_cell_length_c 10.9988
_cell_angle_alpha 90.00
_cell_angle_beta 90.00
_cell_angle_gamma 90.00
_space_group_name_H-M_alt 'A m m 2'
_space_group_IT_number 38
loop_
_space_group_symop_operation_xyz
'x,y,z'
'-x,-y,z'
'-x,y,z'
'x,-y,z'
'x,y+1/2,z+1/2'
'-x,-y+1/2,z+1/2'
'-x,y+1/2,z+1/2'
'x,-y+1/2,z+1/2'
loop_
_atom_site_label
_atom_site_type_symbol
_atom_site_fract_x
_atom_site_fract_y
_atom_site_fract_z
_atom_site_occupancy
Ca1 Ca 0.0000 0.0000 0.0000 1
Ca2 Ca 0.5000 0.0000 0.2811 1
Ag1 Ag 0.0000 0.0000 0.7097 1
P1 P 0.5000 0.0000 0.5562 1
```

Entry 4:
# Ca4CeAu5

A relaxed structure of Ca4CeAu5 (PBE, Alexandria via LeMat-Bulk).

**Final energy**: -0.1391 Ha/atom
**Formation energy**: -7.5 eV/f.u.
**Calculated volume**: 24.507 Å³/atom
**Total magnetization**: 0.098 μB per atom

Structure (CIF):
```
data_Ca4CeAu5
_chemical_formula_sum 'Ca4 Ce1 Au5'
_cell_length_a 3.6671
_cell_length_b 3.6671
_cell_length_c 18.2240
_cell_angle_alpha 90.00
_cell_angle_beta 90.00
_cell_angle_gamma 90.00
_space_group_name_H-M_alt 'P 4/m m m'
_space_group_IT_number 123
_space_group_name_Hall '-P 4 2'
loop_
_atom_site_label
_atom_site_type_symbol
_atom_site_fract_x
_atom_site_fract_y
_atom_site_fract_z
_atom_site_occupancy
Ca1 Ca 0.0000 0.0000 0.0985 1
Ca2 Ca 0.0000 0.0000 0.2966 1
Ce1 Ce 0.0000 0.0000 0.5000 1
Au1 Au 0.5000 0.5000 0.0000 1
Au2 Au 0.5000 0.5000 0.1974 1
Au3 Au 0.5000 0.5000 0.4011 1
```

Entry 5:
# ThNb2Ir2

A relaxed structure of ThNb2Ir2 (PBE, Alexandria via LeMat-Bulk).

**Final energy**: -0.3514 Ha/atom
**Formation energy**: -2.5 eV/f.u.
**Calculated volume**: 21.278 Å³/atom
**Total magnetization**: 0.000 μB per atom

Structure (CIF):
```
data_ThNb2Ir2
_chemical_formula_sum 'Th2 Nb4 Ir4'
_cell_length_a 4.4780
_cell_length_b 4.4780
_cell_length_c 10.6115
_cell_angle_alpha 90.00
_cell_angle_beta 90.00
_cell_angle_gamma 90.00
_space_group_name_H-M_alt 'I 4/m m m'
_space_group_IT_number 139
_space_group_name_Hall '-I 4 2'
loop_
_atom_site_label
_atom_site_type_symbol
_atom_site_fract_x
_atom_site_fract_y
_atom_site_fract_z
_atom_site_occupancy
Th1 Th 0.0000 0.0000 0.0000 1
Nb1 Nb 0.0000 0.5000 0.2500 1
Ir1 Ir 0.0000 0.0000 0.3740 1
```

Entry 6:
# CeErSe2N

A relaxed structure of CeErSe2N (PBE, Alexandria via LeMat-Bulk).

**Energy relative to the elements, uncorrected**: -1.71 eV per atom
**Final energy**: -0.2523 Ha/atom
**Calculated volume**: 23.096 Å³/atom
**Total magnetization**: 0.000 μB per atom

Structure (CIF):
```
data_CeErSe2N
_chemical_formula_sum 'Ce2 Er2 Se4 N2'
_cell_length_a 3.9917
_cell_length_b 3.9917
_cell_length_c 14.4947
_cell_angle_alpha 90.00
_cell_angle_beta 90.00
_cell_angle_gamma 90.00
_space_group_name_H-M_alt 'P 4/n m m'
_space_group_IT_number 129
loop_
_space_group_symop_operation_xyz
'x,y,z'
'-x,-y,-z'
'-y+1/2,x,z'
'y+1/2,-x,-z'
'-x+1/2,-y+1/2,z'
'x+1/2,y+1/2,-z'
'y,-x+1/2,z'
'-y,x+1/2,-z'
'x+1/2,-y,-z'
'-x+1/2,y,z'
'-y,-x,-z'
'y,x,z'
'-x,y+1/2,-z'
'x,-y+1/2,z'
'y+1/2,x+1/2,-z'
'-y+1/2,-x+1/2,z'
loop_
_atom_site_label
_atom_site_type_symbol
_atom_site_fract_x
_atom_site_fract_y
_atom_site_fract_z
_atom_site_occupancy
Ce1 Ce 0.2500 0.2500 0.0782 1
Er1 Er 0.2500 0.2500 0.6247 1
Se1 Se 0.2500 0.2500 0.4115 1
Se2 Se 0.2500 0.2500 0.8052 1
N1 N 0.2500 0.7500 0.0000 1
```

Entry 7:
# Sm3ErHg6

A relaxed structure of Sm3ErHg6 (PBE, Alexandria via LeMat-Bulk).

**Final energy**: -0.0912 Ha/atom
**Formation energy**: -4.3 eV/f.u.
**Calculated volume**: 25.948 Å³/atom
**Total magnetization**: 0.000 μB per atom

Structure (CIF):
```
data_Sm3ErHg6
_chemical_formula_sum 'Sm6 Er2 Hg12'
_cell_length_a 9.3108
_cell_length_b 5.1842
_cell_length_c 11.2078
_cell_angle_alpha 90.00
_cell_angle_beta 106.41
_cell_angle_gamma 90.00
_space_group_name_H-M_alt 'P 1 21/m 1'
_space_group_IT_number 11
loop_
_space_group_symop_operation_xyz
'x,y,z'
'-x,-y,-z'
'-x,y+1/2,-z'
'x,-y+1/2,z'
loop_
_atom_site_label
_atom_site_type_symbol
_atom_site_fract_x
_atom_site_fract_y
_atom_site_fract_z
_atom_site_occupancy
Sm1 Sm 0.0129 0.2500 0.3861 1
Sm2 Sm 0.1471 0.7500 0.2099 1
Sm3 Sm 0.2730 0.2500 0.9914 1
Er1 Er 0.4409 0.2500 0.6039 1
Hg1 Hg 0.0352 0.7500 0.9135 1
Hg2 Hg 0.1634 0.2500 0.6992 1
Hg3 Hg 0.2659 0.7500 0.4995 1
Hg4 Hg 0.3489 0.2500 0.3117 1
Hg5 Hg 0.3567 0.7500 0.8111 1
Hg6 Hg 0.4396 0.7500 0.1133 1
```

Entry 8:
# PaInPtRh

A relaxed structure of PaInPtRh (PBE, Alexandria via LeMat-Bulk).

**Final energy**: -0.2607 Ha/atom
**Formation energy**: -2.8 eV/f.u.
**Calculated volume**: 19.800 Å³/atom
**Total magnetization**: 0.000 μB per atom

Structure (CIF):
```
data_PaInPtRh
_chemical_formula_sum 'Pa4 In4 Pt4 Rh4'
_cell_length_a 6.8171
_cell_length_b 6.8171
_cell_length_c 6.8171
_cell_angle_alpha 90.00
_cell_angle_beta 90.00
_cell_angle_gamma 90.00
_space_group_name_H-M_alt 'F -4 3 m'
_space_group_IT_number 216
_space_group_name_Hall 'F -4 2 3'
loop_
_atom_site_label
_atom_site_type_symbol
_atom_site_fract_x
_atom_site_fract_y
_atom_site_fract_z
_atom_site_occupancy
Pa1 Pa 0.0000 0.0000 0.0000 1
In1 In 0.0000 0.0000 0.5000 1
Pt1 Pt 0.2500 0.2500 0.2500 1
Rh1 Rh 0.2500 0.2500 0.7500 1
```